VASP calculation (PBE-GGA) on crystalline Rb4IO12 at its relaxed geometry.

Space-group type = Im-3, No. 204
Total magnetic moment = 3.2 Bohr magnetons per cell
Formation energy without anion corrections = -1107 kJ/mol of formula units

Lattice parameters (Å, degrees): 7.7989 7.7989 7.7990 109.47 109.47 109.47
Last column: nearest neighbours and their distance in Å.
Fractional positions:
Rb: 0.5000 0.0000 0.0000  6 O 3.02
Rb: 0.5000 0.5000 0.5000  6 O 3.02
Rb: 0.0000 0.5000 0.0000  6 O 3.02
Rb: 0.0000 0.0000 0.5000  6 O 3.02
I: 0.0000 0.0000 0.0000  8 Rb 3.90, 12 O 4.00
O: 0.3135 0.8849 0.4286  1 O 1.29
O: 0.5714 0.4563 0.8849  1 O 1.29
O: 0.4286 0.3135 0.8849  1 O 1.29
O: 0.1151 0.5714 0.6865  1 O 1.29
O: 0.8849 0.4286 0.3135  1 O 1.29
O: 0.6865 0.1151 0.5714  1 O 1.29
O: 0.1151 0.4286 0.5437  1 O 1.29
O: 0.8849 0.5714 0.4563  1 O 1.29
O: 0.5714 0.6865 0.1151  1 O 1.29
O: 0.4286 0.5437 0.1151  1 O 1.29
O: 0.4563 0.8849 0.5714  1 O 1.29
O: 0.5437 0.1151 0.4286  1 O 1.29